Entry 1:
First-principles (PBE) data for crystalline CrAgSbCl2 at its relaxed geometry, as listed in Alexandria via LeMat-Bulk.

```
5
Lattice="4.8022 0.0000 0.0000 0.0000 5.8772 0.0000 0.0000 0.0000 4.8022" Properties=species:S:1:pos:R:3 pbc="T T T"
Cr 0.0000 2.9386 0.0000
Cl 2.4011 0.0000 0.0000
Cl 0.0000 0.0000 2.4011
Ag 0.0000 0.0000 0.0000
Sb 2.4011 2.9386 2.4011
```

Crystal system: tetragonal
ΔE_f (raw), eV per atom: 0.46
ρ, g cm⁻³: 4.319
SG: No. 123


Entry 2:
First-principles (PBE) data for crystalline Pr4YMg2 at its relaxed geometry, as listed in Alexandria via LeMat-Bulk.

```
7
Lattice="5.6908 0.0000 0.0000 2.8454 4.9284 0.0000 2.8454 1.6428 9.0137" Properties=species:S:1:pos:R:3 pbc="T T T"
Pr 8.5362 4.9284 6.5366
Pr 2.8454 1.6428 2.4771
Pr 5.6908 3.2856 8.0211
Pr 5.6908 3.2856 0.9926
Mg 2.8454 1.6428 5.7688
Mg 8.5362 4.9284 3.2449
Y 0.0000 0.0000 0.0000
```

Crystal system: trigonal
ρ, g cm⁻³: 4.605
SG: No. 166


Entry 3:
First-principles (PBE) data for crystalline CdRuAu at its relaxed geometry, as listed in Alexandria via LeMat-Bulk.

```
3
Lattice="-3.6800 -3.2872 -1.3060 0.8972 -3.9272 -3.1346 1.2189 2.3563 4.3607" Properties=species:S:1:pos:R:3 pbc="T T T"
Ru -1.8483 -4.7918 -2.9494
Cd -0.9231 -2.3932 -1.4730
Au -0.0114 -0.0294 -0.0181
```

Crystal system: orthorhombic
E above lowest polymorph, meV per atom: 87.2
ρ, g cm⁻³: 13.044
SG: No. 44


Entry 4:
First-principles (PBE) data for crystalline LiAcNdGa at its relaxed geometry, as listed in Alexandria via LeMat-Bulk.

```
4
Lattice="-1.2606 4.9991 1.7121 -3.6937 2.9405 -2.6873 -4.8566 0.9611 2.2363" Properties=species:S:1:pos:R:3 pbc="T T T"
Ac 0.0000 0.0000 0.0000
Li -7.3582 6.6756 0.9458
Ga -2.4527 2.2252 0.3153
Nd -4.9055 4.4504 0.6305
```

Crystal system: cubic
ρ, g cm⁻³: 6.561
SG: No. 216


Entry 5:
First-principles (PBE) data for crystalline AcTbTlPb at its relaxed geometry, as listed in Alexandria via LeMat-Bulk.

```
4
Lattice="5.6572 0.0000 0.0000 2.8286 4.8993 0.0000 2.8286 1.6331 4.6191" Properties=species:S:1:pos:R:3 pbc="T T T"
Ac 8.4858 4.8993 3.4643
Tb 2.8286 1.6331 1.1548
Tl 0.0000 0.0000 0.0000
Pb 5.6572 3.2662 2.3096
```

Crystal system: cubic
ρ, g cm⁻³: 10.344
SG: No. 216


Entry 6:
First-principles (PBE) data for crystalline MnTlP2S8 at its relaxed geometry, as listed in Alexandria via LeMat-Bulk.

```
12
Lattice="5.7817 0.0000 0.0000 2.8908 5.0071 0.0000 2.8908 1.6691 9.5909" Properties=species:S:1:pos:R:3 pbc="T T T"
S 2.8908 1.6691 3.9582
S 4.8970 1.6667 1.3631
S 6.7869 1.7362 8.2278
S 6.6664 5.0096 8.2278
S 3.8918 3.2686 8.2278
S 7.6716 3.4077 1.3631
S 8.6726 5.0072 5.6327
S 4.7765 4.9400 1.3631
P 8.6725 5.0072 7.6312
P 2.8909 1.6691 1.9597
Tl 5.7817 3.3381 4.7954
Mn 0.0000 0.0000 0.0000
```

Crystal system: trigonal
ΔE_f (raw), eV per atom: -0.18
ρ, g cm⁻³: 3.456
SG: No. 148


Entry 7:
First-principles (PBE) data for crystalline Ac2TiTlO6 at its relaxed geometry, as listed in Alexandria via LeMat-Bulk.

```
10
Lattice="5.1277 0.0000 0.0000 0.0000 5.7722 0.0000 0.0000 0.0000 5.7722" Properties=species:S:1:pos:R:3 pbc="T T T"
Ac 0.0164 2.8861 0.0000
Ac 0.0164 0.0000 2.8861
O 1.2724 0.0000 0.0000
O 3.7580 1.2935 4.4787
O 3.7580 4.4787 4.4787
O 3.7580 4.4787 1.2935
O 0.5481 2.8861 2.8861
O 3.7580 1.2935 1.2935
Ti 3.0889 0.0000 0.0000
Tl 2.8272 2.8861 2.8861
```

Crystal system: tetragonal
ΔE_f (raw), eV per atom: -2.64
ρ, g cm⁻³: 7.798
SG: No. 99


Entry 8:
First-principles (PBE) data for crystalline Sm3Tc2N7 at its relaxed geometry, as listed in Alexandria via LeMat-Bulk.

```
12
Lattice="-2.9534 1.5172 1.8480 -0.1696 -3.2600 2.4054 6.2852 5.9823 5.1333" Properties=species:S:1:pos:R:3 pbc="T T T"
N 3.5675 0.9337 4.9348
N 2.5481 1.7886 2.6038
N -0.1691 1.6764 2.2601
N 5.0095 3.5164 5.1190
N 0.0000 0.0000 0.0000
N 3.3313 2.5631 7.1265
N 1.1061 -0.7941 2.4196
Sm 2.4684 3.5278 4.9553
Sm -1.5615 -0.8714 2.1267
Sm 0.6938 0.7117 4.4313
Tc 4.8579 1.8395 6.2534
Tc 1.2577 0.8828 1.2852
```

Crystal system: orthorhombic
ΔE_f (raw), eV per atom: -0.46
ρ, g cm⁻³: 8.131
SG: No. 65


no.,uncorrected energy (eV/atom)
1,-3.60
2,-3.86
3,-4.13
4,-3.69
5,-4.07
6,-4.79
7,-7.46
8,-8.23